Entry 1:
Nd2NpSn PBE relaxed; ΔH_f (0 K) = 0.28 eV per atom
1.0
-2.115 1.971 1.765
-1.881 -1.331 2.482
7.529 2.574 9.398
Np Nd Sn
1 2 1
direct
0.000 0.000 0.000
0.092 0.092 0.725
0.908 0.908 0.275
0.500 0.500 0.500


Entry 2:
NdNpTc2 PBE relaxed; ΔH_f (0 K) = 0.11 eV per atom
1.0
3.334 0.000 0.000
0.000 3.334 0.000
0.000 0.000 7.332
Tc Np Nd
2 1 1
direct
0.000 0.000 0.806
0.000 0.000 0.194
0.500 0.500 0.000
0.500 0.500 0.500


Entry 3:
Nd2NpTc2 PBE relaxed; ΔH_f (0 K) = -0.01 eV per atom
1.0
5.798 0.009 0.767
2.554 5.206 0.767
-0.116 -0.073 7.969
Nd Np Tc
4 2 4
direct
0.776 0.525 0.348
0.475 0.224 0.152
0.224 0.475 0.652
0.525 0.776 0.848
0.133 0.867 0.250
0.867 0.133 0.750
0.753 0.003 0.517
0.003 0.753 0.017
0.997 0.247 0.983
0.247 0.997 0.483


Entry 4:
Nd2NpTe4 PBE relaxed; energy relative to the elements, uncorrected = -7.897 eV/f.u.
1.0
-0.928 -1.271 4.076
3.452 -5.958 -3.414
13.502 5.143 4.679
Np Te Nd
2 8 4
direct
0.378 0.757 0.250
0.622 0.243 0.750
0.500 0.000 0.000
0.033 0.067 0.250
0.778 0.556 0.127
0.500 0.000 0.500
0.222 0.444 0.873
0.222 0.444 0.627
0.967 0.933 0.750
0.778 0.556 0.373
0.866 0.732 0.932
0.866 0.732 0.568
0.134 0.268 0.068
0.134 0.268 0.432


Entry 5:
NdNp2Te4 PBE relaxed; energy relative to the elements, uncorrected = -6.091 eV/f.u.
1.0
4.316 0.000 0.000
-2.158 7.202 0.000
0.000 0.000 15.146
Nd Te Np
2 8 4
direct
0.617 0.234 0.750
0.383 0.766 0.250
0.222 0.445 0.625
0.778 0.555 0.125
0.500 0.000 0.000
0.955 0.910 0.750
0.045 0.090 0.250
0.222 0.445 0.875
0.500 0.000 0.500
0.778 0.555 0.375
0.136 0.272 0.065
0.864 0.728 0.935
0.136 0.272 0.435
0.864 0.728 0.565


Entry 6:
NdNpTe3 PBE relaxed; E above lowest polymorph = 0.000 eV per atom; energy relative to the elements, uncorrected = -4.922 eV/f.u.
1.0
8.346 0.000 0.000
0.000 7.370 0.000
0.000 0.000 11.280
Te Np Nd
12 4 4
direct
0.824 0.157 0.079
0.324 0.343 0.079
0.549 0.162 0.750
0.176 0.843 0.921
0.951 0.662 0.250
0.049 0.338 0.750
0.676 0.657 0.579
0.676 0.657 0.921
0.176 0.843 0.579
0.824 0.157 0.421
0.451 0.838 0.250
0.324 0.343 0.421
0.000 0.500 0.500
0.000 0.500 0.000
0.500 0.000 0.500
0.500 0.000 0.000
0.878 0.947 0.750
0.378 0.553 0.750
0.622 0.447 0.250
0.122 0.053 0.250


Entry 7:
Nd6NpTe8 PBE relaxed; energy relative to the elements, uncorrected = -19.906 eV/f.u.
1.0
-2.437 8.579 -0.899
-3.165 4.523 7.062
4.932 6.477 3.751
Te Nd Np
8 6 1
direct
0.250 0.250 0.250
0.748 0.252 0.252
0.748 0.748 0.252
0.750 0.750 0.750
0.252 0.252 0.748
0.252 0.748 0.748
0.748 0.252 0.748
0.252 0.748 0.252
0.500 0.000 0.500
0.000 0.000 0.500
0.500 0.500 0.000
0.500 0.000 0.000
0.000 0.500 0.000
0.000 0.500 0.500
0.000 0.000 0.000


Entry 8:
NdNpTe3 PBE relaxed; E above lowest polymorph = 0.044 eV per atom; energy relative to the elements, uncorrected = -4.704 eV/f.u.
1.0
7.713 0.000 0.000
0.000 7.388 -2.644
0.000 0.312 11.584
Np Nd Te
4 4 12
direct
0.699 0.067 0.044
0.801 0.567 0.544
0.199 0.433 0.456
0.301 0.933 0.956
0.713 0.005 0.367
0.787 0.505 0.867
0.287 0.995 0.633
0.213 0.495 0.133
0.009 0.203 0.927
0.509 0.297 0.573
0.039 0.772 0.402
0.961 0.228 0.598
0.539 0.728 0.098
0.461 0.272 0.902
0.876 0.318 0.276
0.991 0.797 0.073
0.376 0.182 0.224
0.491 0.703 0.427
0.124 0.682 0.724
0.624 0.818 0.776


| no. | V (Å³/cell) |
| --- | --- |
| 1 | 120.8 |
| 2 | 81.5 |
| 3 | 241.0 |
| 4 | 489.0 |
| 5 | 470.8 |
| 6 | 693.8 |
| 7 | 509.3 |
| 8 | 666.4 |